Record 1
The following is a PBE calculation of LaMgCu after structural relaxation, from Alexandria.

Geometry as CIF:
```
data_LaMgCu
_cell_length_a 4.829
_cell_length_b 4.829
_cell_length_c 4.829
_cell_angle_alpha 60.00
_cell_angle_beta 60.00
_cell_angle_gamma 60.00
_symmetry_space_group_name_H-M 'P 1'
_symmetry_Int_Tables_number 1
loop_
_symmetry_equiv_pos_as_xyz
'x,y,z'
loop_
_atom_site_label
_atom_site_fract_x
_atom_site_fract_y
_atom_site_fract_z
Cu1 0.750 0.750 0.750
La1 0.000 0.000 0.000
Mg1 0.500 0.500 0.500
```

## Properties
Fermi-level density of states	4.0	states/eV/cell
formation energy	-52	meV/atom
SG	No. 216

Record 2
The following is a PBE calculation of Fe2NiAg after structural relaxation, from Alexandria.

Geometry as CIF:
```
data_Fe2NiAg
_cell_length_a 5.059
_cell_length_b 5.059
_cell_length_c 5.059
_cell_angle_alpha 148.11
_cell_angle_beta 127.84
_cell_angle_gamma 62.45
_symmetry_space_group_name_H-M 'P 1'
_symmetry_Int_Tables_number 1
loop_
_symmetry_equiv_pos_as_xyz
'x,y,z'
loop_
_atom_site_label
_atom_site_fract_x
_atom_site_fract_y
_atom_site_fract_z
Ag1 0.252 0.752 0.500
Fe1 0.982 0.982 0.000
Fe2 0.749 0.249 0.500
Ni1 0.517 0.517 0.000
```

## Properties
Fermi-level density of states	3.3	states/eV/cell
excess energy over the best structure of this formula in the dataset	108.9	meV per atom
formation energy	295	meV/atom
SG	No. 44

Record 3
The following is a PBE calculation of TaAlCr2 after structural relaxation, from Alexandria.

Geometry as CIF:
```
data_TaAlCr2
_cell_length_a 4.252
_cell_length_b 4.252
_cell_length_c 3.176
_cell_angle_alpha 90.00
_cell_angle_beta 90.00
_cell_angle_gamma 90.00
_symmetry_space_group_name_H-M 'P 1'
_symmetry_Int_Tables_number 1
loop_
_symmetry_equiv_pos_as_xyz
'x,y,z'
loop_
_atom_site_label
_atom_site_fract_x
_atom_site_fract_y
_atom_site_fract_z
Cr1 0.000 0.000 0.000
Cr2 0.500 0.500 0.000
Al1 0.000 0.500 0.500
Ta1 0.500 0.000 0.500
```

## Properties
Fermi-level density of states	5.0	states/eV/cell
formation energy	-41	meV/atom
SG	No. 123

Record 4
The following is a PBE calculation of TcRh4 after structural relaxation, from Alexandria.

Geometry as CIF:
```
data_TcRh4
_cell_length_a 4.601
_cell_length_b 4.601
_cell_length_c 4.601
_cell_angle_alpha 90.00
_cell_angle_beta 90.00
_cell_angle_gamma 90.00
_symmetry_space_group_name_H-M 'P 1'
_symmetry_Int_Tables_number 1
loop_
_symmetry_equiv_pos_as_xyz
'x,y,z'
loop_
_atom_site_label
_atom_site_fract_x
_atom_site_fract_y
_atom_site_fract_z
Rh1 0.000 0.000 0.000
Rh2 0.500 0.000 0.500
Rh3 0.000 0.500 0.500
Rh4 0.500 0.500 0.000
Tc1 0.500 0.500 0.500
```

## Properties
Fermi-level density of states	10.5	states/eV/cell
excess energy over the best structure of this formula in the dataset	1507.5	meV per atom
formation energy	1455	meV/atom
SG	No. 221

Record 5
The following is a PBE calculation of Ce5PuCd2 after structural relaxation, from Alexandria.

Geometry as CIF:
```
data_Ce5PuCd2
_cell_length_a 6.582
_cell_length_b 6.577
_cell_length_c 6.576
_cell_angle_alpha 93.12
_cell_angle_beta 115.17
_cell_angle_gamma 121.30
_symmetry_space_group_name_H-M 'P 1'
_symmetry_Int_Tables_number 1
loop_
_symmetry_equiv_pos_as_xyz
'x,y,z'
loop_
_atom_site_label
_atom_site_fract_x
_atom_site_fract_y
_atom_site_fract_z
Ce1 0.300 0.307 0.538
Ce2 0.300 0.761 0.993
Ce3 0.788 0.250 0.993
Ce4 0.787 0.795 0.537
Ce5 0.268 0.276 0.992
Pu1 0.764 0.776 0.987
Cd1 0.254 0.779 0.476
Cd2 0.762 0.278 0.484
```

## Properties
Fermi-level density of states	18.8	states/eV/cell
formation energy	-54	meV/atom
SG	No. 1

Record 6
The following is a PBE calculation of Be2SiC after structural relaxation, from Alexandria.

Geometry as CIF:
```
data_Be2SiC
_cell_length_a 5.109
_cell_length_b 5.109
_cell_length_c 5.115
_cell_angle_alpha 60.03
_cell_angle_beta 60.03
_cell_angle_gamma 90.00
_symmetry_space_group_name_H-M 'P 1'
_symmetry_Int_Tables_number 1
loop_
_symmetry_equiv_pos_as_xyz
'x,y,z'
loop_
_atom_site_label
_atom_site_fract_x
_atom_site_fract_y
_atom_site_fract_z
Be1 0.482 0.125 0.250
Be2 0.268 0.625 0.250
Be3 0.375 0.518 0.750
Be4 0.875 0.732 0.750
Si1 0.000 0.000 0.000
Si2 0.750 0.250 0.500
C1 0.500 0.500 0.000
C2 0.250 0.750 0.500
```

## Properties
Fermi-level density of states	1.5	states/eV/cell
excess energy over the best structure of this formula in the dataset	0.0	meV per atom
raw formation energy	67	kJ/mol of atoms
SG	No. 122

Record 7
The following is a PBE calculation of CdTe2Se after structural relaxation, from Alexandria.

Geometry as CIF:
```
data_CdTe2Se
_cell_length_a 4.049
_cell_length_b 8.871
_cell_length_c 4.056
_cell_angle_alpha 90.00
_cell_angle_beta 90.00
_cell_angle_gamma 90.00
_symmetry_space_group_name_H-M 'P 1'
_symmetry_Int_Tables_number 1
loop_
_symmetry_equiv_pos_as_xyz
'x,y,z'
loop_
_atom_site_label
_atom_site_fract_x
_atom_site_fract_y
_atom_site_fract_z
Cd1 0.500 0.000 0.500
Se1 0.000 0.500 0.500
Te1 0.000 0.000 0.000
Te2 0.500 0.500 0.000
```

## Properties
Fermi-level density of states	2.9	states/eV/cell
raw formation energy	6	kJ/mol of atoms
SG	No. 47

Record 8
The following is a PBE calculation of K3Tl4AgCl8 after structural relaxation, from Alexandria.

Geometry as CIF:
```
data_K3Tl4AgCl8
_cell_length_a 8.866
_cell_length_b 8.992
_cell_length_c 8.952
_cell_angle_alpha 119.58
_cell_angle_beta 119.68
_cell_angle_gamma 90.00
_symmetry_space_group_name_H-M 'P 1'
_symmetry_Int_Tables_number 1
loop_
_symmetry_equiv_pos_as_xyz
'x,y,z'
loop_
_atom_site_label
_atom_site_fract_x
_atom_site_fract_y
_atom_site_fract_z
K1 0.500 0.500 0.000
K2 0.500 0.500 0.500
K3 0.000 0.500 0.500
Tl1 0.500 0.000 0.000
Tl2 0.500 0.000 0.500
Tl3 0.000 0.000 0.000
Tl4 0.000 0.000 0.500
Ag1 0.000 0.500 0.000
Cl1 0.226 0.721 0.995
Cl2 0.252 0.746 0.505
Cl3 0.253 0.260 0.507
Cl4 0.769 0.721 0.995
Cl5 0.231 0.279 0.005
Cl6 0.747 0.740 0.493
Cl7 0.748 0.254 0.495
Cl8 0.774 0.279 0.005
```

## Properties
Fermi-level density of states	0.0	states/eV/cell
raw formation energy	-123	kJ/mol of atoms
SG	No. 12

Record 9
The following is a PBE calculation of ScI2BrN after structural relaxation, from Alexandria.

Geometry as CIF:
```
data_ScI2BrN
_cell_length_a 5.905
_cell_length_b 5.905
_cell_length_c 4.178
_cell_angle_alpha 90.00
_cell_angle_beta 90.00
_cell_angle_gamma 90.00
_symmetry_space_group_name_H-M 'P 1'
_symmetry_Int_Tables_number 1
loop_
_symmetry_equiv_pos_as_xyz
'x,y,z'
loop_
_atom_site_label
_atom_site_fract_x
_atom_site_fract_y
_atom_site_fract_z
I1 0.000 0.500 0.000
I2 0.500 0.000 0.000
Sc1 0.000 0.000 0.000
Br1 0.500 0.500 0.500
N1 0.000 0.000 0.500
```

## Properties
Fermi-level density of states	6.2	states/eV/cell
excess energy over the best structure of this formula in the dataset	0.0	meV per atom
raw formation energy	1	kJ/mol of atoms
SG	No. 123

Record 10
The following is a PBE calculation of NaEuAlSn after structural relaxation, from Alexandria.

Geometry as CIF:
```
data_NaEuAlSn
_cell_length_a 5.324
_cell_length_b 5.324
_cell_length_c 5.324
_cell_angle_alpha 60.00
_cell_angle_beta 60.00
_cell_angle_gamma 60.00
_symmetry_space_group_name_H-M 'P 1'
_symmetry_Int_Tables_number 1
loop_
_symmetry_equiv_pos_as_xyz
'x,y,z'
loop_
_atom_site_label
_atom_site_fract_x
_atom_site_fract_y
_atom_site_fract_z
Eu1 0.000 0.000 0.000
Na1 0.500 0.500 0.500
Sn1 0.250 0.250 0.250
Al1 0.750 0.750 0.750
```

## Properties
Fermi-level density of states	1.2	states/eV/cell
formation energy	-208	meV/atom
SG	No. 216

Record 11
The following is a PBE calculation of Tb3BiRh8 after structural relaxation, from Alexandria.

Geometry as CIF:
```
data_Tb3BiRh8
_cell_length_a 5.351
_cell_length_b 5.351
_cell_length_c 9.270
_cell_angle_alpha 73.23
_cell_angle_beta 73.23
_cell_angle_gamma 60.00
_symmetry_space_group_name_H-M 'P 1'
_symmetry_Int_Tables_number 1
loop_
_symmetry_equiv_pos_as_xyz
'x,y,z'
loop_
_atom_site_label
_atom_site_fract_x
_atom_site_fract_y
_atom_site_fract_z
Tb1 0.376 0.376 0.873
Tb2 0.997 0.997 0.010
Tb3 0.503 0.503 0.492
Bi1 0.873 0.873 0.381
Rh1 0.940 0.438 0.185
Rh2 0.437 0.937 0.689
Rh3 0.438 0.438 0.185
Rh4 0.937 0.937 0.689
Rh5 0.188 0.188 0.437
Rh6 0.688 0.688 0.937
Rh7 0.438 0.940 0.185
Rh8 0.937 0.437 0.689
```

## Properties
Fermi-level density of states	6.8	states/eV/cell
formation energy	-573	meV/atom
SG	No. 160